1.
## Hf2ZnN (PBE-GGA)

Data for crystalline Hf2ZnN at its relaxed geometry.

a = 5.666 Å, b = 5.666 Å, c = 9.711 Å
α = 90.00°, β = 90.00°, γ = 90.00°
Space group I-42d (No. 122)
Unique sites:
Hf1 0.159 0.250 0.125
Zn1 0.000 0.000 0.500
N1 0.000 0.000 0.000



2.
## Hf2ZnN (PBE-GGA)

Data for crystalline Hf2ZnN at its relaxed geometry.

a = 6.264 Å, b = 6.264 Å, c = 6.264 Å
α = 90.00°, β = 90.00°, γ = 90.00°
Space group Fm-3m (No. 225)
Unique sites:
Hf1 0.250 0.250 0.250
Zn1 0.000 0.000 0.000
N1 0.000 0.000 0.500



| no. | formation energy (no corrections) (eV per atom) |
| --- | --- |
| 1 | -0.4203 |
| 2 | 0.3252 |